The following is a DFT calculation (PBE) of an optimized crystal structure of SrEr2Tl.

Lattice parameters (Å, degrees): 4.9916 4.9916 4.9861 90.00 90.00 90.00
Space group P4/mmm (No. 123)
Unique sites:
Sr1 0.0000 0.0000 0.0000 [1 per cell]
Er1 0.0000 0.5000 0.5000 [2 per cell]
Tl1 0.5000 0.5000 0.0000 [1 per cell]

Properties
* DOS at the Fermi energy: 1.024 states/eV per atom
* E: -3.318 eV per atom
* energy relative to the lowest polymorph listed for this composition: 10 meV/atom
* energy of formation: -25 meV per atom



The following is a DFT calculation (PBE) of an optimized crystal structure of NaLaZr2Re.

Lattice parameters (Å, degrees): 5.0181 5.0181 4.9225 90.00 90.00 90.00
Space group P4/mmm (No. 123)
Unique sites:
Na1 0.0000 0.0000 0.0000 [1 per cell]
La1 0.5000 0.5000 0.5000 [1 per cell]
Zr1 0.0000 0.5000 0.0000 [2 per cell]
Re1 0.0000 0.0000 0.5000 [1 per cell]

Properties
* DOS at the Fermi energy: 1.581 states/eV per atom
* E: -5.597 eV per atom
* energy relative to the lowest polymorph listed for this composition: 0 meV/atom
* energy of formation: 1562 meV per atom



The following is a DFT calculation (PBE) of an optimized crystal structure of Au2BrCl.

Lattice parameters (Å, degrees): 3.6263 7.6213 8.7149 90.00 90.00 90.00
Space group Cmm2 (No. 35)
Unique sites:
Au1 0.0000 0.0000 0.0000 [2 per cell]
Au2 0.0000 0.5000 0.2152 [2 per cell]
Br1 0.0000 0.0000 0.4197 [2 per cell]
Cl1 0.0000 0.5000 0.8125 [2 per cell]

Properties
* formation energy from raw total energies: -9.8 kJ per mole of atoms
* E: -2.620 eV per atom
* energy relative to the lowest polymorph listed for this composition: 0 meV/atom



The following is a DFT calculation (PBE) of an optimized crystal structure of Ce2PuSn2.

Lattice parameters (Å, degrees): 5.1810 5.1810 11.4935 90.00 90.00 120.00
Space group P6_3/mmc (No. 194)
Unique sites:
Ce1 0.0000 0.0000 0.0000 [2 per cell]
Ce2 0.3333 0.6667 0.2500 [2 per cell]
Pu1 0.0000 0.0000 0.2500 [2 per cell]
Sn1 0.3333 0.6667 0.6171 [4 per cell]

Properties
* DOS at the Fermi energy: 1.310 states/eV per atom
* E: -7.310 eV per atom
* energy relative to the lowest polymorph listed for this composition: 0 meV/atom
* energy of formation: -469 meV per atom



- What is the energy relative to the lowest polymorph listed for this composition in the second record?
  0 meV/atom



- What is the E in the fourth record?
  -7.310 eV per atom



- energy relative to the lowest polymorph listed for this composition of number 2 (NaLaZr2Re)?
  0 meV/atom